Mg4PaMnO8: relaxed, PBE with a Hubbard U.

POSCAR file:
```
Mg4PaMnO8
1.0
3.040 1.755 5.110
-3.040 1.755 5.110
0.000 -3.510 5.110
Mg Pa Mn O
4 1 1 8
Direct
0.000 0.000 0.000 Mg
0.115 0.640 0.640 Mg
0.640 0.115 0.640 Mg
0.640 0.640 0.115 Mg
0.270 0.270 0.270 Pa
0.633 0.633 0.633 Mn
0.395 0.395 0.852 O
0.395 0.852 0.395 O
0.403 0.403 0.403 O
0.404 0.862 0.862 O
0.852 0.395 0.395 O
0.862 0.404 0.862 O
0.862 0.862 0.404 O
0.872 0.872 0.872 O
```

Results
For the final energy, the calculation gives -7.01 eV/atom.